Crystalline CaHfTi3 at its relaxed geometry. Source: Alexandria, functional GGA-PBEsol.

- Crystal system: cubic

abc: 4.922 4.922 4.922
angles: 90.00 90.00 90.00
Space group Pm-3m (No. 221)
One atom of each set of equivalent atoms:
Ca  0.000  0.000  0.000 x1
Hf  0.500  0.500  0.500 x1
Ti  0.000  0.500  0.500 x3



Crystalline CaHfTl2 at its relaxed geometry. Source: Alexandria, functional GGA-PBEsol.

- Crystal system: cubic

abc: 7.272 7.272 7.272
angles: 90.00 90.00 90.00
Space group Fm-3m (No. 225)
One atom of each set of equivalent atoms:
Ca  0.000  0.000  0.000 x4
Hf  0.000  0.000  0.500 x4
Tl  0.250  0.250  0.250 x8



Crystalline CaHf2TlW at its relaxed geometry. Source: Alexandria, functional GGA-PBEsol.

- Crystal system: tetragonal

abc: 5.207 5.207 5.300
angles: 90.00 90.00 90.00
Space group P4/mmm (No. 123)
One atom of each set of equivalent atoms:
Ca  0.000  0.000  0.000 x1
Hf  0.000  0.500  0.500 x2
Tl  0.000  0.000  0.500 x1
W  0.500  0.500  0.000 x1



Crystalline Ca3Hg at its relaxed geometry. Source: Alexandria, functional GGA-PBEsol.

- Crystal system: orthorhombic
- ΔE to the lowest computed polymorph: 0 meV/atom

abc: 8.053 9.943 6.719
angles: 90.00 90.00 90.00
Space group Pnma (No. 62)
One atom of each set of equivalent atoms:
Ca  0.030  0.250  0.126 x4
Ca  0.177  0.059  0.655 x8
Hg  0.119  0.750  0.445 x4



Crystalline Ca5Hg at its relaxed geometry. Source: Alexandria, functional GGA-PBEsol.

- Crystal system: orthorhombic
- ΔE to the lowest computed polymorph: 73 meV/atom

abc: 4.603 15.818 5.588
angles: 90.00 90.00 90.00
Space group Cmmm (No. 65)
One atom of each set of equivalent atoms:
Ca  0.000  0.000  0.000 x2
Ca  0.000  0.145  0.500 x4
Ca  0.000  0.335  0.000 x4
Hg  0.000  0.500  0.500 x2



Crystalline Ca5Hg at its relaxed geometry. Source: Alexandria, functional GGA-PBEsol.

- Crystal system: monoclinic
- ΔE to the lowest computed polymorph: 17 meV/atom

abc: 13.056 3.819 9.241
angles: 90.00 112.40 90.00
Space group C2/m (No. 12)
One atom of each set of equivalent atoms:
Ca  0.000  0.000  0.000 x2
Ca  0.132  0.500  0.367 x4
Ca  0.170  0.500  0.790 x4
Hg  0.000  0.000  0.500 x2



| no. | total DFT energy (no corrections) (eV per atom) | energy relative to the elements (eV per atom) |
| --- | --- | --- |
| 1 | -6.59 | 0.9353 |
| 2 | -4.50 | -0.0251 |
| 3 | -5.99 | 1.9283 |
| 4 | -2.08 | -0.3382 |
| 5 | -2.01 | -0.1370 |
| 6 | -2.06 | -0.1927 |